The following is a PBE calculation of PrHoSi after structural relaxation, from the Open Quantum Materials Database.

Output
Symmetry: F-43m (216)
DFT total energy, eV per atom: -5.359

Lattice parameters (Å, degrees): 6.9958 6.9958 6.9958 90.00 90.00 90.00
Last column: nearest neighbours and their distance in Å.
Fractional positions:
1 Pr 0.0000 0.0000 0.0000  4 Si 3.03
2 Pr 0.0000 0.5000 0.5000  4 Si 3.03
3 Pr 0.5000 0.0000 0.5000  4 Si 3.03
4 Pr 0.5000 0.5000 0.0000  4 Si 3.03
5 Ho 0.0000 0.0000 0.5000  4 Si 3.03
6 Ho 0.0000 0.5000 0.0000  4 Si 3.03
7 Ho 0.5000 0.0000 0.0000  4 Si 3.03
8 Ho 0.5000 0.5000 0.5000  4 Si 3.03
9 Si 0.2500 0.2500 0.7500  4 Pr 3.03, 4 Ho 3.03
10 Si 0.2500 0.7500 0.2500  4 Pr 3.03, 4 Ho 3.03
11 Si 0.7500 0.2500 0.2500  4 Pr 3.03, 4 Ho 3.03
12 Si 0.7500 0.7500 0.7500  4 Pr 3.03, 4 Ho 3.03

=====

The following is a PBE calculation of PrHoSi2 after structural relaxation, from the Open Quantum Materials Database.

Output
E above lowest polymorph, meV/atom: 10.9
Symmetry: Pmc2_1 (26)

Lattice parameters (Å, degrees): 3.8963 5.8301 8.0979 90.00 90.00 90.00
Last column: nearest neighbours and their distance in Å.
Fractional positions:
1 Pr 0.0000 0.1352 0.0000  7 Si 3.03-3.24
2 Pr 0.0000 0.8648 0.5000  7 Si 3.03-3.24
3 Ho 0.5000 0.3644 0.6410  7 Si 3.01-3.18
4 Ho 0.5000 0.6356 0.1410  7 Si 3.01-3.18
5 Si 0.0000 0.3807 0.3584  2 Si 2.50
6 Si 0.0000 0.6193 0.8584  2 Si 2.50
7 Si 0.5000 0.1320 0.2858  2 Si 2.50
8 Si 0.5000 0.8680 0.7858  2 Si 2.50

=====

The following is a PBE calculation of PrHoSi2 after structural relaxation, from the Open Quantum Materials Database.

Output
E above lowest polymorph, meV/atom: 0.0
Symmetry: Pmn2_1 (31)

Lattice parameters (Å, degrees): 3.8888 8.1180 5.8149 90.00 90.00 90.00
Last column: nearest neighbours and their distance in Å.
Fractional positions:
1 Pr 0.0000 0.0716 0.0000  7 Si 3.08-3.30
2 Pr 0.5000 0.9284 0.5000  7 Si 3.08-3.30
3 Ho 0.0000 0.5694 0.2715  7 Si 2.94-3.16
4 Ho 0.5000 0.4306 0.7715  7 Si 2.94-3.16
5 Si 0.0000 0.2247 0.5125  2 Si 2.50
6 Si 0.0000 0.7025 0.7616  2 Si 2.50
7 Si 0.5000 0.2975 0.2616  2 Si 2.50
8 Si 0.5000 0.7753 0.0125  2 Si 2.50

=====

The following is a PBE calculation of PrHoSi2 after structural relaxation, from the Open Quantum Materials Database.

Output
E above lowest polymorph, meV/atom: 13.4
Symmetry: P2_1/m (11)

Lattice parameters (Å, degrees): 5.8343 3.8930 8.1111 90.00 90.80 90.00
Last column: nearest neighbours and their distance in Å.
Fractional positions:
1 Pr 0.1147 0.2500 0.1803  7 Si 3.03-3.21
2 Pr 0.8853 0.7500 0.8197  7 Si 3.03-3.21
3 Ho 0.3860 0.2500 0.6780  7 Si 2.98-3.23
4 Ho 0.6140 0.7500 0.3220  7 Si 2.98-3.23
5 Si 0.1286 0.7500 0.4669  2 Si 2.52
6 Si 0.3781 0.7500 0.9599  2 Si 2.49
7 Si 0.6219 0.2500 0.0401  2 Si 2.49
8 Si 0.8714 0.2500 0.5331  2 Si 2.52

=====

The following is a PBE calculation of PrHo3Si4 after structural relaxation, from the Open Quantum Materials Database.

Output
Symmetry: Pm (6)
DFT total energy, eV per atom: -5.819

Lattice parameters (Å, degrees): 5.7502 3.8564 7.9938 90.00 90.23 90.00
Last column: nearest neighbours and their distance in Å.
Fractional positions:
1 Pr 0.0000 0.0000 0.0000  7 Si 3.02-3.23
2 Ho 0.2717 0.0000 0.5006  7 Si 2.93-3.16
3 Ho 0.5002 0.5000 0.1434  7 Si 2.99-3.23
4 Ho 0.7699 0.5000 0.6396  7 Si 2.94-3.12
5 Si 0.0143 0.5000 0.2915  2 Si 2.50
6 Si 0.2625 0.5000 0.7764  2 Si 2.49
7 Si 0.5136 0.0000 0.8548  2 Si 2.49
8 Si 0.7557 0.0000 0.3627  2 Si 2.50

=====

The following is a PBE calculation of PrSmHo after structural relaxation, from the Open Quantum Materials Database.

Output
E above lowest polymorph, meV/atom: 0.0
Formation energy from the elements, eV per atom: 0.69
Symmetry: F-43m (216)

Lattice parameters (Å, degrees): 7.7759 7.7759 7.7759 90.00 90.00 90.00
Last column: nearest neighbours and their distance in Å.
Fractional positions:
1 Pr 0.0000 0.0000 0.0000  4 Ho 3.37
2 Pr 0.0000 0.5000 0.5000  4 Ho 3.37
3 Pr 0.5000 0.0000 0.5000  4 Ho 3.37
4 Pr 0.5000 0.5000 0.0000  4 Ho 3.37
5 Sm 0.0000 0.0000 0.5000  4 Ho 3.37
6 Sm 0.0000 0.5000 0.0000  4 Ho 3.37
7 Sm 0.5000 0.0000 0.0000  4 Ho 3.37
8 Sm 0.5000 0.5000 0.5000  4 Ho 3.37
9 Ho 0.2500 0.2500 0.2500  4 Pr 3.37, 4 Sm 3.37
10 Ho 0.2500 0.7500 0.7500  4 Pr 3.37, 4 Sm 3.37
11 Ho 0.7500 0.2500 0.7500  4 Pr 3.37, 4 Sm 3.37
12 Ho 0.7500 0.7500 0.2500  4 Pr 3.37, 4 Sm 3.37

=====

The following is a PBE calculation of PrHoZn2Sn2 after structural relaxation, from the Open Quantum Materials Database.

Output
E above lowest polymorph, meV/atom: 26.4
Symmetry: P6_3/mmc (194)

Lattice parameters (Å, degrees): 4.5563 4.5563 15.9946 90.00 90.00 120.00
Last column: nearest neighbours and their distance in Å.
Fractional positions:
1 Pr 0.0000 0.0000 0.2500  6 Zn 3.05
2 Pr 0.0000 0.0000 0.7500  6 Zn 3.05
3 Ho 0.0000 0.0000 0.0000  6 Sn 3.16
4 Ho 0.0000 0.0000 0.5000  6 Sn 3.16
5 Zn 0.3333 0.6667 0.1530  3 Sn 2.72
6 Zn 0.3333 0.6667 0.3470  3 Sn 2.72
7 Zn 0.6667 0.3333 0.6530  3 Sn 2.72
8 Zn 0.6667 0.3333 0.8470  3 Sn 2.72
9 Sn 0.3333 0.6667 0.6094  3 Zn 2.72
10 Sn 0.3333 0.6667 0.8906  3 Zn 2.72
11 Sn 0.6667 0.3333 0.1094  3 Zn 2.72
12 Sn 0.6667 0.3333 0.3906  3 Zn 2.72

=====

The following is a PBE calculation of PrHoZn2Sn2 after structural relaxation, from the Open Quantum Materials Database.

Output
E above lowest polymorph, meV/atom: 0.0
Symmetry: P6_3/mmc (194)

Lattice parameters (Å, degrees): 4.5294 4.5294 16.1624 90.00 90.00 120.00
Last column: nearest neighbours and their distance in Å.
Fractional positions:
1 Pr 0.0000 0.0000 0.0000  6 Sn 3.25
2 Pr 0.0000 0.0000 0.5000  6 Sn 3.25
3 Ho 0.0000 0.0000 0.2500  6 Zn 2.98
4 Ho 0.0000 0.0000 0.7500  6 Zn 2.98
5 Zn 0.3333 0.6667 0.1622  3 Sn 2.71, 1 Zn 2.84, 3 Ho 2.98
6 Zn 0.3333 0.6667 0.3378  3 Sn 2.71, 1 Zn 2.84, 3 Ho 2.98
7 Zn 0.6667 0.3333 0.6622  3 Sn 2.71, 1 Zn 2.84, 3 Ho 2.98
8 Zn 0.6667 0.3333 0.8378  3 Sn 2.71, 1 Zn 2.84, 3 Ho 2.98
9 Sn 0.3333 0.6667 0.6191  3 Zn 2.71
10 Sn 0.3333 0.6667 0.8809  3 Zn 2.71
11 Sn 0.6667 0.3333 0.1191  3 Zn 2.71
12 Sn 0.6667 0.3333 0.3809  3 Zn 2.71